# Tm3SiNi9Ge2 (GGA-PBE, relaxed)
data_Tm3SiNi9Ge2
_chemical_formula_sum 'Tm3 Si1 Ni9 Ge2'
_symmetry_space_group_name_H-M 'P 1'
_symmetry_Int_Tables_number 1
_symmetry_space_group_name_Hall 'P 1'
_cell_length_a 5.9983
_cell_length_b 5.9983
_cell_length_c 7.9978
_cell_angle_alpha 90.00
_cell_angle_beta 90.00
_cell_angle_gamma 120.00
loop_
_atom_site_label
_atom_site_fract_x
_atom_site_fract_y
_atom_site_fract_z
_atom_site_occupancy
Tm1 0.0000 0.0000 0.0000 1
Tm2 0.3333 0.6667 0.6855 1
Tm3 0.6667 0.3333 0.3145 1
Si1 0.0000 0.0000 0.5000 1
Ni1 0.0000 0.5000 0.0000 1
Ni2 0.1346 0.2693 0.2861 1
Ni3 0.1346 0.8654 0.2861 1
Ni4 0.2693 0.1346 0.7139 1
Ni5 0.5000 0.0000 0.0000 1
Ni6 0.5000 0.5000 0.0000 1
Ni7 0.7307 0.8654 0.2861 1
Ni8 0.8654 0.1346 0.7139 1
Ni9 0.8654 0.7307 0.7139 1
Ge1 0.3333 0.6667 0.1935 1
Ge2 0.6667 0.3333 0.8065 1
# Spin magnetization = 0.0 μB per formula unit
# N(E_F) = 0.58 states/eV/atom
# VASP energy = -83.95 eV per formula unit
# Crystal system = trigonal
# ΔE_f (raw) = -256 meV per atom

# Tm3Si2Ni9Ge (GGA-PBE, relaxed)
data_Tm3Si2Ni9Ge
_chemical_formula_sum 'Tm3 Si2 Ni9 Ge1'
_symmetry_space_group_name_H-M 'P 1'
_symmetry_Int_Tables_number 1
_symmetry_space_group_name_Hall 'P 1'
_cell_length_a 5.8506
_cell_length_b 5.8506
_cell_length_c 8.2536
_cell_angle_alpha 90.00
_cell_angle_beta 90.00
_cell_angle_gamma 120.00
loop_
_atom_site_label
_atom_site_fract_x
_atom_site_fract_y
_atom_site_fract_z
_atom_site_occupancy
Tm1 0.0000 0.0000 0.0000 1
Tm2 0.3333 0.6667 0.6898 1
Tm3 0.6667 0.3333 0.3102 1
Si1 0.3333 0.6667 0.1789 1
Si2 0.6667 0.3333 0.8211 1
Ni1 0.0000 0.5000 0.0000 1
Ni2 0.1397 0.2793 0.2794 1
Ni3 0.1397 0.8603 0.2794 1
Ni4 0.2793 0.1397 0.7206 1
Ni5 0.5000 0.0000 0.0000 1
Ni6 0.5000 0.5000 0.0000 1
Ni7 0.7207 0.8603 0.2794 1
Ni8 0.8603 0.1397 0.7206 1
Ni9 0.8603 0.7207 0.7206 1
Ge1 0.0000 0.0000 0.5000 1
# Spin magnetization = 0.0 μB per formula unit
# N(E_F) = 0.64 states/eV/atom
# VASP energy = -85.70 eV per formula unit
# Crystal system = trigonal
# ΔE_f (raw) = -319 meV per atom

# Y2SiNi6Ge (GGA-PBE, relaxed)
data_Y2SiNi6Ge
_chemical_formula_sum 'Y2 Si1 Ni6 Ge1'
_symmetry_space_group_name_H-M 'P 1'
_symmetry_Int_Tables_number 1
_symmetry_space_group_name_Hall 'P 1'
_cell_length_a 5.8710
_cell_length_b 5.8891
_cell_length_c 6.0220
_cell_angle_alpha 90.73
_cell_angle_beta 116.89
_cell_angle_gamma 117.27
loop_
_atom_site_label
_atom_site_fract_x
_atom_site_fract_y
_atom_site_fract_z
_atom_site_occupancy
Y1 0.0000 0.0000 0.0000 1
Y2 0.1449 0.6349 0.6276 1
Si1 0.4460 0.7933 0.2828 1
Ni1 0.4200 0.4396 0.4317 1
Ni2 0.6224 0.1683 0.1702 1
Ni3 0.6437 0.5943 0.1665 1
Ni4 0.6458 0.1642 0.5862 1
Ni5 0.9592 0.0477 0.4695 1
Ni6 0.9730 0.4745 0.0537 1
Ge1 0.4464 0.2865 0.7905 1
# Spin magnetization = 0.0 μB per formula unit
# N(E_F) = 0.68 states/eV/atom
# VASP energy = -61.87 eV per formula unit
# Crystal system = triclinic
# ΔE_f (raw) = -421 meV per atom

# Y2SiNi4Ge3 (GGA-PBE, relaxed)
data_Y2SiNi4Ge3
_chemical_formula_sum 'Y2 Si1 Ni4 Ge3'
_symmetry_space_group_name_H-M 'P 1'
_symmetry_Int_Tables_number 1
_symmetry_space_group_name_Hall 'P 1'
_cell_length_a 4.0522
_cell_length_b 4.0522
_cell_length_c 9.6421
_cell_angle_alpha 90.00
_cell_angle_beta 90.00
_cell_angle_gamma 90.00
loop_
_atom_site_label
_atom_site_fract_x
_atom_site_fract_y
_atom_site_fract_z
_atom_site_occupancy
Y1 0.0000 0.5000 0.2489 1
Y2 0.5000 0.0000 0.7511 1
Si1 0.5000 0.5000 0.0000 1
Ni1 0.0000 0.0000 0.5000 1
Ni2 0.0000 0.5000 0.8773 1
Ni3 0.5000 0.0000 0.1227 1
Ni4 0.5000 0.5000 0.5000 1
Ge1 0.0000 0.0000 0.0000 1
Ge2 0.0000 0.5000 0.6318 1
Ge3 0.5000 0.0000 0.3682 1
# Spin magnetization = 0.0 μB per formula unit
# N(E_F) = 0.63 states/eV/atom
# VASP energy = -62.62 eV per formula unit
# Crystal system = tetragonal
# ΔE_f (raw) = -729 meV per atom

# Y2SiNiGe (GGA-PBE, relaxed)
data_Y2SiNiGe
_chemical_formula_sum 'Y2 Si1 Ni1 Ge1'
_symmetry_space_group_name_H-M 'P 1'
_symmetry_Int_Tables_number 1
_symmetry_space_group_name_Hall 'P 1'
_cell_length_a 5.3619
_cell_length_b 5.3619
_cell_length_c 4.1898
_cell_angle_alpha 90.00
_cell_angle_beta 90.00
_cell_angle_gamma 90.00
loop_
_atom_site_label
_atom_site_fract_x
_atom_site_fract_y
_atom_site_fract_z
_atom_site_occupancy
Y1 0.0000 0.5000 0.0000 1
Y2 0.5000 0.0000 0.0000 1
Si1 0.0000 0.0000 0.0000 1
Ni1 0.0000 0.0000 0.5000 1
Ge1 0.5000 0.5000 0.5000 1
# Spin magnetization = 0.0 μB per formula unit
# N(E_F) = 1.30 states/eV/atom
# VASP energy = -29.68 eV per formula unit
# Crystal system = tetragonal
# ΔE_f (raw) = -187 meV per atom

# Sm5Ni2Ge5 (GGA-PBE, relaxed)
data_Sm5Ni2Ge5
_chemical_formula_sum 'Sm5 Ni2 Ge5'
_symmetry_space_group_name_H-M 'P 1'
_symmetry_Int_Tables_number 1
_symmetry_space_group_name_Hall 'P 1'
_cell_length_a 7.8639
_cell_length_b 7.8639
_cell_length_c 11.2123
_cell_angle_alpha 129.34
_cell_angle_beta 129.34
_cell_angle_gamma 30.96
loop_
_atom_site_label
_atom_site_fract_x
_atom_site_fract_y
_atom_site_fract_z
_atom_site_occupancy
Sm1 0.0000 0.0000 0.0000 1
Sm2 0.1148 0.1148 0.4226 1
Sm3 0.1964 0.1964 0.8205 1
Sm4 0.8036 0.8036 0.1795 1
Sm5 0.8852 0.8852 0.5774 1
Ni1 0.3570 0.3570 0.7465 1
Ni2 0.6430 0.6430 0.2535 1
Ge1 0.2480 0.2480 0.3107 1
Ge2 0.4434 0.4434 0.1546 1
Ge3 0.5000 0.5000 0.5000 1
Ge4 0.5566 0.5566 0.8454 1
Ge5 0.7520 0.7520 0.6893 1
# Spin magnetization = 0.0 μB per formula unit
# Formation energy = -0.735 eV per atom
# N(E_F) = 0.50 states/eV/atom
# VASP energy = -67.07 eV per formula unit
# Crystal system = monoclinic

Among the records above, which one has the lowest VASP energy? Tm3Si2Ni9Ge

Please write out number 4 again, unchanged.
# Y2SiNi4Ge3 (GGA-PBE, relaxed)
data_Y2SiNi4Ge3
_chemical_formula_sum 'Y2 Si1 Ni4 Ge3'
_symmetry_space_group_name_H-M 'P 1'
_symmetry_Int_Tables_number 1
_symmetry_space_group_name_Hall 'P 1'
_cell_length_a 4.0522
_cell_length_b 4.0522
_cell_length_c 9.6421
_cell_angle_alpha 90.00
_cell_angle_beta 90.00
_cell_angle_gamma 90.00
loop_
_atom_site_label
_atom_site_fract_x
_atom_site_fract_y
_atom_site_fract_z
_atom_site_occupancy
Y1 0.0000 0.5000 0.2489 1
Y2 0.5000 0.0000 0.7511 1
Si1 0.5000 0.5000 0.0000 1
Ni1 0.0000 0.0000 0.5000 1
Ni2 0.0000 0.5000 0.8773 1
Ni3 0.5000 0.0000 0.1227 1
Ni4 0.5000 0.5000 0.5000 1
Ge1 0.0000 0.0000 0.0000 1
Ge2 0.0000 0.5000 0.6318 1
Ge3 0.5000 0.0000 0.3682 1
# Spin magnetization = 0.0 μB per formula unit
# N(E_F) = 0.63 states/eV/atom
# VASP energy = -62.62 eV per formula unit
# Crystal system = tetragonal
# ΔE_f (raw) = -729 meV per atom

What is the formula in the first record? Tm3SiNi9Ge2